This record from Alexandria via LeMat-Bulk describes crystalline TiO at its relaxed geometry. The functional is GGA-PBE.

Cell: 5.1146 5.1146 5.8591 Å, 74.15 74.15 48.11°
With the nearest neighbours (Å) after each atom.
Element x y z (fractional)
Ti1 0.3515 0.3515 0.3251  5 O 1.99-2.15
Ti2 0.6485 0.6485 0.6749  5 O 1.99-2.15
Ti3 0.3381 0.3381 0.8257  5 O 2.06-2.14
Ti4 0.6619 0.6619 0.1743  5 O 2.06-2.14
Ti5 0.0000 0.0000 0.5000  4 O 2.06-2.12
O1 0.5000 0.5000 0.0000  4 Ti 1.99-2.06
O2 0.1728 0.1728 0.1686  5 Ti 2.09-2.14
O3 0.8272 0.8272 0.8314  5 Ti 2.09-2.14
O4 0.1715 0.1715 0.6551  5 Ti 2.06-2.15
O5 0.8285 0.8285 0.3449  5 Ti 2.06-2.15

Output
Energy relative to the elements, uncorrected   -2517 meV per atom
Calculated total energy   -8.94 eV per atom
Spin magnetization   0.00 μB per formula unit
Calculated density   4.87 g cm⁻³